The following is a DFT calculation (PBE+U) of a geometry-optimized CeVO5 structure.

CIF file:
```
data_CeVO5
_space_group_name_H-M_alt 'C 1 2/c 1'
_space_group_IT_number 15
_cell_length_a 6.736
_cell_length_b 5.155
_cell_length_c 9.534
_cell_angle_alpha 90.00
_cell_angle_beta 90.07
_cell_angle_gamma 90.00
loop_
_space_group_symop_operation_xyz
'x,y,z'
'-x,-y,-z'
'-x,y,-z+1/2'
'x,-y,z+1/2'
'x+1/2,y+1/2,z'
'-x+1/2,-y+1/2,-z'
'-x+1/2,y+1/2,-z+1/2'
'x+1/2,-y+1/2,z+1/2'
loop_
_atom_site_label
_atom_site_fract_x
_atom_site_fract_y
_atom_site_fract_z
_atom_site_occupancy
Ce1 0.000 0.000 0.000 1
V1 0.000 0.451 0.250 1
O1 0.000 0.214 0.750 1
O2 0.174 0.330 0.115 1
O3 0.175 0.330 0.384 1
```

Calculated values
**Total magnetization**: 0.15 μB/atom
**Polymorph energy (0 for the lowest one)**: 0.689 eV/f.u.
**Raw total energy**: -52.7 eV/f.u.